Compound: K2Zn2CdS4
Source: the Alexandria database
Functional: GGA-PBE
Structure: optimized geometry

Cell: 3.8902 7.4210 8.1014 Å, 108.59 103.89 90.00°
With the nearest neighbours (Å) after each atom.
Atoms (fractional coordinates):
S 0.5270 0.7776 0.0540  1 Zn 2.32
Zn 0.3266 0.0123 0.6533  4 S 2.32-2.48
K 0.1239 0.5326 0.2479  7 S 3.33-3.35
K 0.8761 0.4674 0.7521  7 S 3.33-3.35
S 0.4730 0.2224 0.9460  1 Zn 2.32
S 0.2156 0.1849 0.4313  3 Zn 2.39-2.48
Cd 0.0000 0.0000 0.0000  4 S 2.67
Zn 0.6734 0.9877 0.3467  4 S 2.32-2.48
S 0.7844 0.8151 0.5687  3 Zn 2.39-2.48

Calculated values
Density (kg/m3): 3482
Formation energy (no corrections) (eV per atom): -0.902
Space-group type: C2/m

***

Compound: K2ZrCdS4
Source: the Alexandria database
Functional: GGA-PBE
Structure: optimized geometry

Cell: 3.8853 6.9963 7.6596 Å, 108.70 90.00 90.00°
With the nearest neighbours (Å) after each atom.
Atoms (fractional coordinates):
S 0.0000 0.2909 0.7968  2 Zr 2.62, 1 Cd 2.93
Zr 0.5000 0.5000 0.0000  6 S 2.62
K 0.0000 0.5000 0.5000  6 S 3.07-3.15
K 0.5000 0.0000 0.5000  6 S 3.18-3.37
S 0.5000 0.7536 0.8121  1 Zr 2.62, 2 Cd 2.69
S 0.0000 0.7091 0.2032  2 Zr 2.62, 1 Cd 2.93
Cd 0.0000 0.0000 0.0000  6 S 2.69-2.93
S 0.5000 0.2464 0.1879  1 Zr 2.62, 2 Cd 2.69

Calculated values
Density (kg/m3): 3453
Formation energy (no corrections) (eV per atom): -1.219
Space-group type: P2/m

***

Compound: KCd4Sb
Source: the Alexandria database
Functional: GGA-PBE
Structure: optimized geometry

Cell: 6.1276 6.1276 6.1276 Å, 60.00 60.00 60.00°
With the nearest neighbours (Å) after each atom.
Atoms (fractional coordinates):
K 0.7500 0.7500 0.7500  12 Cd 3.59, 4 Sb 3.75
Cd 0.3744 0.3744 0.3744  6 Cd 3.05-3.08
Cd 0.3744 0.8768 0.3744  6 Cd 3.05-3.08
Cd 0.3744 0.3744 0.8768  6 Cd 3.05-3.08
Cd 0.8768 0.3744 0.3744  6 Cd 3.05-3.08
Sb 0.0000 0.0000 0.0000  12 Cd 3.59, 4 K 3.75

Calculated values
Density (kg/m3): 6231
Formation energy (no corrections) (eV per atom): 0.008
Space-group type: F-43m